# 1
VASP calculation (GGA-PBE) on crystalline SbPt2Rh6 at its relaxed geometry.

a = 7.738 Å, b = 7.738 Å, c = 7.738 Å
α = 151.39°, β = 137.55°, γ = 51.99°
Fractional positions:
Sb  0.000  0.000  0.000
Pt  0.304  0.804  0.500
Pt  0.518  0.018  0.500
Rh  0.169  0.412  0.757
Rh  0.358  0.613  0.745
Rh  0.516  0.230  0.286
Rh  0.656  0.412  0.243
Rh  0.867  0.613  0.255
Rh  0.944  0.230  0.714

Calculated values
- energy (eV per atom) = -6.54
- formation energy without anion corrections (eV/atom) = 0.16
- V (Å³/cell) = 148.99


# 2
VASP calculation (GGA-PBE) on crystalline HoTmScIr at its relaxed geometry.

a = 4.995 Å, b = 4.995 Å, c = 4.995 Å
α = 60.00°, β = 60.00°, γ = 60.00°
Fractional positions:
Ho  0.000  0.000  0.000
Tm  0.500  0.500  0.500
Sc  0.750  0.750  0.750
Ir  0.250  0.250  0.250

Calculated values
- energy (eV per atom) = -6.36
- energy of formation (eV per atom) = -0.30
- V (Å³/cell) = 88.15


# 3
VASP calculation (GGA-PBE) on crystalline BaCuSe at its relaxed geometry.

a = 6.775 Å, b = 6.123 Å, c = 4.284 Å
α = 79.07°, β = 62.55°, γ = 38.38°
Fractional positions:
Ba  0.000  0.000  0.000
Cu  0.288  0.288  0.712
Se  0.705  0.705  0.295

Calculated values
- energy (eV per atom) = -3.65
- formation energy without anion corrections (eV/atom) = -0.48
- V (Å³/cell) = 93.02


# 4
VASP calculation (GGA-PBE) on crystalline Zr6Co2Bi at its relaxed geometry.

a = 7.907 Å, b = 7.907 Å, c = 7.907 Å
α = 115.09°, β = 113.68°, γ = 100.05°
Fractional positions:
Zr  0.036  0.243  0.793
Zr  0.190  0.300  0.491
Zr  0.190  0.700  0.890
Zr  0.326  0.016  0.690
Zr  0.326  0.635  0.310
Zr  0.450  0.243  0.207
Zr  0.550  0.757  0.793
Zr  0.674  0.365  0.690
Zr  0.674  0.984  0.310
Zr  0.810  0.300  0.110
Zr  0.810  0.700  0.509
Zr  0.964  0.757  0.207
Co  0.122  0.622  0.500
Co  0.352  0.000  0.352
Co  0.648  0.000  0.648
Co  0.878  0.378  0.500
Bi  0.000  0.000  0.000
Bi  0.500  0.500  0.000

Calculated values
- energy (eV per atom) = -7.89
- energy of formation (eV per atom) = -0.18
- V (Å³/cell) = 372.97


# 5
VASP calculation (GGA-PBE) on crystalline NdSm12Ho5 at its relaxed geometry.

a = 10.801 Å, b = 10.801 Å, c = 5.096 Å
α = 90.00°, β = 90.00°, γ = 90.06°
Fractional positions:
Nd  0.000  0.000  0.000
Sm  0.001  0.666  0.000
Sm  0.167  0.167  0.500
Sm  0.168  0.501  0.500
Sm  0.334  0.999  0.000
Sm  0.335  0.335  0.000
Sm  0.499  0.832  0.500
Sm  0.501  0.168  0.500
Sm  0.665  0.665  0.000
Sm  0.666  0.001  0.000
Sm  0.832  0.499  0.500
Sm  0.833  0.833  0.500
Sm  0.999  0.334  0.000
Ho  0.168  0.832  0.500
Ho  0.333  0.667  0.000
Ho  0.500  0.500  0.500
Ho  0.667  0.333  0.000
Ho  0.832  0.168  0.500

Calculated values
- energy (eV per atom) = -4.67
- energy of formation (eV per atom) = 0.02
- V (Å³/cell) = 594.54


# 6
VASP calculation (GGA-PBE) on crystalline YZrMn2Re at its relaxed geometry.

a = 4.762 Å, b = 4.762 Å, c = 4.892 Å
α = 90.00°, β = 90.00°, γ = 90.00°
Fractional positions:
Y  0.000  0.000  0.000
Zr  0.500  0.500  0.500
Mn  0.000  0.500  0.500
Mn  0.500  0.000  0.500
Re  0.500  0.500  0.000

Calculated values
- energy (eV per atom) = -8.05
- energy of formation (eV per atom) = 1.11
- V (Å³/cell) = 110.93


# 7
VASP calculation (GGA-PBE) on crystalline PrPd3Pt2 at its relaxed geometry.

a = 8.008 Å, b = 8.008 Å, c = 8.008 Å
α = 42.42°, β = 42.42°, γ = 42.42°
Fractional positions:
Pr  0.219  0.219  0.219
Pr  0.781  0.781  0.781
Pd  0.235  0.721  0.721
Pd  0.279  0.279  0.765
Pd  0.279  0.765  0.279
Pd  0.721  0.235  0.721
Pd  0.721  0.721  0.235
Pd  0.765  0.279  0.279
Pt  0.000  0.000  0.000
Pt  0.000  0.500  0.500
Pt  0.500  0.000  0.500
Pt  0.500  0.500  0.000

Calculated values
- energy (eV per atom) = -5.89
- energy of formation (eV per atom) = -0.48
- V (Å³/cell) = 211.58


# 8
VASP calculation (GGA-PBE) on crystalline Li2HfZrPt at its relaxed geometry.

a = 4.531 Å, b = 4.531 Å, c = 4.977 Å
α = 90.00°, β = 90.00°, γ = 90.00°
Fractional positions:
Li  0.000  0.500  0.000
Li  0.500  0.000  0.000
Hf  0.000  0.000  0.500
Zr  0.000  0.000  0.000
Pt  0.500  0.500  0.500

Calculated values
- energy (eV per atom) = -4.38
- energy of formation (eV per atom) = 1.29
- V (Å³/cell) = 102.20